A geometry-optimized NdErNi2Ge4 structure. Source: OQMD, functional PBE-GGA.

```
8
Lattice="-2.8330 2.6144 -1.6914 -5.8469 -2.6327 5.7241 -3.9800 0.6006 7.5949" Properties=species:S:1:pos:R:3 pbc="T T T"
Ni -6.6835 -1.3821 9.0586
Ni -4.5490 0.6594 3.4000
Er -2.4840 1.0865 0.6012
Ge -5.9284 0.3742 5.2696
Ge -8.7674 -0.2129 9.1174
Ge -5.3374 -1.1037 7.2342
Ge -2.4505 -0.5067 3.3214
Nd -8.7733 -1.8142 11.8909
```

Total magnetization (μB per cell): 0.00
Space group: No. 38
Density (g/cm3): 8.150
Calculated total energy (eV per atom): -5.576